Compound: ReAg2Mo
Source: Alexandria
Functional: PBE
Structure: relaxed

a = 5.3234 Å, b = 5.3234 Å, c = 5.3234 Å
α = 144.69°, β = 126.98°, γ = 65.32°
Atoms (fractional coordinates):
1 Re 0.0000 0.0000 0.0000
2 Ag 0.2657 0.7657 0.5000
3 Ag 0.5281 0.5281 0.0000
4 Mo 0.8011 0.3011 0.5000

* polymorph energy (0 for the lowest one): 0.2900 eV/atom
* space group: No. 44
* E_tot: -6.6371 eV/atom
* crystal system: orthorhombic
* spin magnetization: 0.000 μB per cell
* energy of formation: 0.608 eV/atom

---

Compound: Re2AgMo
Source: Alexandria
Functional: PBE
Structure: relaxed

a = 2.6981 Å, b = 2.6981 Å, c = 9.3641 Å
α = 90.00°, β = 90.00°, γ = 110.44°
Atoms (fractional coordinates):
1 Re 0.0000 0.0000 0.2347
2 Re 0.0000 0.0000 0.7653
3 Ag 0.5000 0.5000 0.5000
4 Mo 0.5000 0.5000 0.0000

* polymorph energy (0 for the lowest one): 0.0786 eV/atom
* space group: No. 65
* E_tot: -9.2815 eV/atom
* crystal system: orthorhombic
* spin magnetization: 0.000 μB per cell
* energy of formation: 0.363 eV/atom